(1)
{
  "formula": "TmBeAg",
  "functional": "GGA-PBE",
  "state": "relaxed",
  "lattice_angstrom": [[-4.351, -0.277, -4.656], [2.379, -5.609, -1.889], [-4.012, -3.025, 3.930]],
  "species": ["Be", "Be", "Be", "Be", "Ag", "Ag", "Ag", "Ag", "Tm", "Tm", "Tm", "Tm"],
  "frac_coords": [[0.496, 0.004, 0.996], [0.004, 0.996, 0.496], [0.504, 0.504, 0.504], [0.996, 0.496, 0.004], [0.726, 0.726, 0.726], [0.226, 0.774, 0.274], [0.274, 0.226, 0.774], [0.774, 0.274, 0.226], [0.522, 0.022, 0.478], [0.978, 0.978, 0.978], [0.478, 0.522, 0.022], [0.022, 0.478, 0.522]]
}



(2)
{
  "formula": "Tm12Be3Ag5",
  "functional": "GGA-PBE",
  "state": "relaxed",
  "lattice_angstrom": [[-7.573, 3.327, -11.890], [12.905, -5.344, -3.833], [-7.228, -9.902, 7.715]],
  "species": ["Tm", "Tm", "Tm", "Tm", "Tm", "Tm", "Tm", "Tm", "Tm", "Tm", "Tm", "Tm", "Tm", "Tm", "Tm", "Tm", "Tm", "Tm", "Tm", "Tm", "Tm", "Tm", "Tm", "Tm", "Tm", "Tm", "Tm", "Tm", "Tm", "Tm", "Tm", "Tm", "Tm", "Tm", "Tm", "Tm", "Tm", "Tm", "Tm", "Tm", "Tm", "Tm", "Tm", "Tm", "Tm", "Tm", "Tm", "Tm", "Be", "Be", "Be", "Be", "Be", "Be", "Be", "Be", "Be", "Be", "Be", "Be", "Ag", "Ag", "Ag", "Ag", "Ag", "Ag", "Ag", "Ag", "Ag", "Ag", "Ag", "Ag", "Ag", "Ag", "Ag", "Ag", "Ag", "Ag", "Ag", "Ag"],
  "frac_coords": [[0.561, 0.227, 0.135], [0.865, 0.273, 0.439], [0.592, 0.865, 0.426], [0.365, 0.939, 0.773], [0.408, 0.273, 0.334], [0.135, 0.408, 0.074], [0.834, 0.908, 0.273], [0.926, 0.834, 0.561], [0.408, 0.135, 0.574], [0.273, 0.408, 0.834], [0.227, 0.666, 0.092], [0.666, 0.439, 0.574], [0.635, 0.574, 0.908], [0.273, 0.865, 0.939], [0.939, 0.365, 0.273], [0.334, 0.561, 0.426], [0.439, 0.666, 0.074], [0.426, 0.061, 0.334], [0.074, 0.166, 0.439], [0.439, 0.773, 0.865], [0.727, 0.592, 0.166], [0.061, 0.635, 0.727], [0.166, 0.092, 0.727], [0.908, 0.074, 0.635], [0.908, 0.834, 0.773], [0.061, 0.426, 0.834], [0.574, 0.939, 0.666], [0.135, 0.727, 0.561], [0.727, 0.135, 0.061], [0.666, 0.227, 0.592], [0.635, 0.061, 0.227], [0.166, 0.074, 0.939], [0.227, 0.561, 0.635], [0.939, 0.574, 0.166], [0.592, 0.727, 0.666], [0.574, 0.635, 0.408], [0.426, 0.365, 0.592], [0.926, 0.092, 0.865], [0.092, 0.926, 0.365], [0.074, 0.908, 0.135], [0.561, 0.334, 0.926], [0.365, 0.426, 0.092], [0.834, 0.926, 0.061], [0.865, 0.592, 0.926], [0.334, 0.773, 0.408], [0.092, 0.166, 0.227], [0.773, 0.439, 0.365], [0.773, 0.334, 0.908], [0.375, 0.750, 0.625], [0.125, 0.875, 0.750], [0.250, 0.625, 0.875], [0.625, 0.375, 0.750], [0.750, 0.375, 0.125], [0.625, 0.250, 0.375], [0.875, 0.125, 0.250], [0.250, 0.125, 0.375], [0.750, 0.875, 0.625], [0.875, 0.750, 0.125], [0.125, 0.250, 0.875], [0.375, 0.625, 0.250], [0.250, 0.875, 0.125], [0.000, 0.000, 0.500], [0.625, 0.750, 0.875], [0.125, 0.375, 0.250], [0.000, 0.000, 0.000], [0.375, 0.250, 0.125], [0.625, 0.875, 0.250], [0.875, 0.625, 0.750], [0.125, 0.750, 0.375], [0.750, 0.125, 0.875], [0.500, 0.000, 0.000], [0.250, 0.375, 0.625], [0.750, 0.625, 0.375], [0.500, 0.500, 0.000], [0.375, 0.125, 0.750], [0.500, 0.000, 0.500], [0.500, 0.500, 0.500], [0.000, 0.500, 0.500], [0.875, 0.250, 0.625], [0.000, 0.500, 0.000]]
}



(3)
{
  "formula": "YTmBeAg",
  "functional": "GGA-PBE",
  "state": "relaxed",
  "lattice_angstrom": [[-4.239, 0.165, -2.617], [-3.845, -2.894, 1.299], [-4.087, 2.035, 2.001]],
  "species": ["Ag", "Be", "Y", "Tm"],
  "frac_coords": [[0.000, 0.000, 0.000], [0.500, 0.500, 0.500], [0.750, 0.750, 0.750], [0.250, 0.250, 0.250]]
}



(4)
{
  "formula": "BeVAg2",
  "functional": "GGA-PBE",
  "state": "relaxed",
  "lattice_angstrom": [[-0.140, -3.044, 2.208], [3.299, 0.962, 1.535], [-2.925, 3.927, 8.435]],
  "species": ["V", "V", "Ag", "Ag", "Ag", "Ag", "Be", "Be"],
  "frac_coords": [[0.750, 0.250, 0.500], [0.000, 0.000, 0.000], [0.875, 0.866, 0.750], [0.616, 0.125, 0.250], [0.375, 0.384, 0.750], [0.134, 0.625, 0.250], [0.250, 0.750, 0.500], [0.500, 0.500, 0.000]]
}



(5)
{
  "formula": "BeV2Ag",
  "functional": "GGA-PBE",
  "state": "relaxed",
  "lattice_angstrom": [[3.407, 0.000, 0.000], [0.000, 3.407, 0.000], [1.704, 1.704, 9.655]],
  "species": ["Be", "Be", "V", "V", "V", "V", "Ag", "Ag"],
  "frac_coords": [[0.500, 0.500, 0.000], [0.250, 0.750, 0.500], [0.875, 0.861, 0.750], [0.139, 0.625, 0.250], [0.375, 0.389, 0.750], [0.611, 0.125, 0.250], [0.000, 0.000, 0.000], [0.750, 0.250, 0.500]]
}



(6)
{
  "formula": "Be2V2Ag",
  "functional": "GGA-PBE",
  "state": "relaxed",
  "lattice_angstrom": [[-2.784, -3.809, -3.639], [5.190, -2.689, -1.155], [-0.519, -2.128, 2.625]],
  "species": ["V", "V", "V", "V", "Be", "Be", "Be", "Be", "Ag", "Ag"],
  "frac_coords": [[0.841, 0.341, 0.500], [0.159, 0.659, 0.500], [0.659, 0.841, 0.500], [0.341, 0.159, 0.500], [0.127, 0.373, 0.000], [0.627, 0.127, 0.000], [0.373, 0.873, 0.000], [0.873, 0.627, 0.000], [0.000, 0.000, 0.000], [0.500, 0.500, 0.000]]
}



(7)
{
  "formula": "BeVAg3",
  "functional": "GGA-PBE",
  "state": "relaxed",
  "lattice_angstrom": [[4.418, 0.000, 0.000], [0.000, 4.418, 0.000], [0.000, 0.000, 4.418]],
  "species": ["Ag", "Ag", "Ag", "V", "Be"],
  "frac_coords": [[0.000, 0.000, 0.500], [0.500, 0.000, 0.000], [0.000, 0.500, 0.000], [0.500, 0.500, 0.500], [0.000, 0.000, 0.000]],
  "relative_energy_kj_per_mol_atoms": 0.0
}



(8)
{
  "formula": "BeVAg3",
  "functional": "GGA-PBE",
  "state": "relaxed",
  "lattice_angstrom": [[-3.521, 1.850, 2.961], [-3.480, -1.507, -3.196], [-0.293, -4.347, 2.368]],
  "species": ["Ag", "Ag", "Ag", "V", "Be"],
  "frac_coords": [[0.000, 0.000, 0.500], [0.500, 0.000, 0.000], [0.000, 0.500, 0.000], [0.000, 0.000, 0.000], [0.500, 0.500, 0.500]],
  "relative_energy_kj_per_mol_atoms": 98.3
}



Listing total DFT energy (no corrections) for the structures above in their given order: -3.3978, -3.5763, -4.4568, -3.9184, -5.5712, -5.5718, -3.6833, -2.6648 eV/atom.
Listing DOS at the Fermi energy for the structures above in their given order: 11.0, 59.6, 4.5, 8.5, 8.4, 6.8, 4.5, 6.8 states/eV per cell.
Listing calculated formation energy for the structures above in their given order: 0.285, 0.378, -0.079, 0.718, 0.632, 0.136, 0.596, 1.615 eV/atom.